1.
Density functional theory data (GGA-PBE) for GaBPCl2 after structural relaxation.

As for the space group: No. 123. As for the theoretical density: 2.9 Mg/m³. As for the energy relative to the elements, uncorrected: 366 meV/atom. For the energy, the calculation gives -16.98 eV/f.u. The volume comes out at 104.50 Å³ per cell.

```
data_GaBPCl2
_chemical_formula_sum 'Ga1 B1 P1 Cl2'
_cell_length_a 5.424
_cell_length_b 5.424
_cell_length_c 3.552
_cell_angle_alpha 90.00
_cell_angle_beta 90.00
_cell_angle_gamma 90.00
_space_group_name_H-M_alt 'P 1'
_space_group_IT_number 1
loop_
_space_group_symop_operation_xyz
'x,y,z'
loop_
_atom_site_label
_atom_site_type_symbol
_atom_site_fract_x
_atom_site_fract_y
_atom_site_fract_z
P1 P 0.000 0.000 0.500
B1 B 0.000 0.000 0.000
Ga1 Ga 0.500 0.500 0.500
Cl1 Cl 0.000 0.500 0.000
Cl2 Cl 0.500 0.000 0.000
```

2.
Density functional theory data (GGA-PBE) for GaBPCl2 after structural relaxation.

As for the space group: No. 123. As for the theoretical density: 2.7 Mg/m³. As for the energy relative to the elements, uncorrected: 926 meV/atom. For the energy, the calculation gives -14.18 eV/f.u. The volume comes out at 114.15 Å³ per cell.

```
data_GaBPCl2
_chemical_formula_sum 'Ga1 B1 P1 Cl2'
_cell_length_a 4.833
_cell_length_b 4.833
_cell_length_c 4.886
_cell_angle_alpha 90.00
_cell_angle_beta 90.00
_cell_angle_gamma 90.00
_space_group_name_H-M_alt 'P 1'
_space_group_IT_number 1
loop_
_space_group_symop_operation_xyz
'x,y,z'
loop_
_atom_site_label
_atom_site_type_symbol
_atom_site_fract_x
_atom_site_fract_y
_atom_site_fract_z
P1 P 0.000 0.000 0.500
B1 B 0.500 0.500 0.500
Ga1 Ga 0.000 0.000 0.000
Cl1 Cl 0.000 0.500 0.000
Cl2 Cl 0.500 0.000 0.000
```

Question: The highest theoretical density belongs to which entry?
Answer: number 1